No. 1
{"formula": "AlFe2W", "functional": "PBE", "state": "optimized geometry", "density_g_cm3": 10.1, "space_group": "P4/mmm, No. 123", "energy_ev_per_atom": -8.34, "formation_enthalpy_0k_ev_per_atom": 0.061, "cell": [[3.744, 0.000, 0.000], [0.000, 3.766, 0.000], [0.000, 0.000, 3.766]], "species": ["Fe", "Fe", "W", "Al"], "fractional_positions": [[0.000, 0.500, 0.500], [0.000, 0.000, 0.000], [0.500, 0.500, 0.000], [0.500, 0.000, 0.500]]}

---

No. 2
{"formula": "Nd3TlBi2", "functional": "PBE", "state": "optimized geometry", "density_g_cm3": 8.5, "space_group": "Immm, No. 71", "energy_ev_per_atom": -4.74, "formation_enthalpy_0k_ev_per_atom": -0.670, "cell": [[6.477, 0.000, 0.000], [0.000, 9.045, 0.003], [-3.239, -2.262, 7.011]], "species": ["Bi", "Bi", "Bi", "Bi", "Nd", "Nd", "Nd", "Nd", "Nd", "Nd", "Tl", "Tl"], "fractional_positions": [[0.666, 0.583, 0.331], [0.334, 0.917, 0.669], [0.334, 0.417, 0.669], [0.666, 0.083, 0.331], [0.500, 0.750, 0.000], [0.172, 0.586, 0.345], [0.500, 0.250, 0.000], [0.173, 0.086, 0.345], [0.827, 0.914, 0.655], [0.828, 0.414, 0.655], [0.000, 0.250, 0.000], [0.000, 0.750, 0.000]]}

---

No. 3
{"formula": "TcMoSe2", "functional": "PBE", "state": "optimized geometry", "density_g_cm3": 6.6, "formation_energy_uncorrected_ev_per_atom": 0.362, "space_group": "I-42d, No. 122", "energy_ev_per_atom": -6.68, "e_above_lowest_polymorph_kcal_per_mol_atoms": 12.65, "cell": [[5.628, 0.000, 0.000], [0.000, 5.628, 0.000], [2.814, 2.814, 5.582]], "species": ["Se", "Se", "Se", "Se", "Tc", "Tc", "Mo", "Mo"], "fractional_positions": [[0.634, 0.125, 0.250], [0.875, 0.884, 0.750], [0.375, 0.366, 0.750], [0.116, 0.625, 0.250], [0.750, 0.250, 0.500], [0.000, 0.000, 0.000], [0.500, 0.500, 0.000], [0.250, 0.750, 0.500]]}

---

No. 4
{"formula": "LaMgFe", "functional": "PBE", "state": "optimized geometry", "density_g_cm3": 5.0, "space_group": "P3m1, No. 156", "energy_ev_per_atom": -4.57, "formation_enthalpy_0k_ev_per_atom": 0.425, "cell": [[-1.094, 0.849, 3.287], [-2.383, -0.911, -2.493], [0.523, -6.293, 1.800]], "species": ["Mg", "Fe", "La"], "fractional_positions": [[0.333, 0.667, 0.732], [0.000, 0.000, 0.994], [0.667, 0.333, 0.275]]}

---

No. 5
{"formula": "Tb7SmEr3", "functional": "PBE", "state": "optimized geometry", "density_g_cm3": 8.2, "space_group": "P2/m, No. 10", "energy_ev_per_atom": -4.48, "e_above_lowest_polymorph_kcal_per_mol_atoms": 0.00, "formation_enthalpy_0k_ev_per_atom": 0.138, "cell": [[-5.039, -2.174, 6.999], [4.043, -8.458, -3.067], [4.992, 2.402, -0.043]], "species": ["Tb", "Tb", "Tb", "Tb", "Tb", "Tb", "Tb", "Er", "Er", "Er", "Sm"], "fractional_positions": [[0.921, 0.831, 0.921], [0.175, 0.357, 0.675], [0.825, 0.643, 0.325], [0.646, 0.291, 0.146], [0.500, 0.000, 0.500], [0.079, 0.169, 0.079], [0.354, 0.709, 0.854], [0.778, 0.998, 0.278], [0.222, 0.002, 0.722], [0.000, 0.500, 0.000], [0.500, 0.500, 0.500]]}

---

No. 6
{"formula": "BaTc2P", "functional": "PBE", "state": "optimized geometry", "density_g_cm3": 7.9, "space_group": "P4/mmm, No. 123", "energy_ev_per_atom": -6.66, "formation_enthalpy_0k_ev_per_atom": 0.360, "cell": [[-0.238, -2.183, -2.173], [2.472, 1.165, -1.440], [4.771, -4.804, 4.306]], "species": ["Tc", "Tc", "P", "Ba"], "fractional_positions": [[0.000, 0.000, 0.344], [0.000, 0.000, 0.656], [0.500, 0.500, 0.500], [0.500, 0.500, 0.000]]}

---

- Number 5 is which compound?
  Tb7SmEr3

---

- Number 6 is which compound?
  BaTc2P